(1)
A relaxed structure of Ba2CuP2O9, computed with GGA-PBEsol.

Results
SG: P2_1/m
energy relative to the elements, uncorrected: -212.6 kJ per mole of atoms

a = 5.6840 Å, b = 8.4175 Å, c = 8.8709 Å
α = 112.97°, β = 90.00°, γ = 90.00°
Last column: nearest neighbours and their distance in Å.
Positions (direct):
O  0.7500  0.6361  0.5702  2 Cu 1.78
O  0.2500  0.3830  0.8943  1 P 1.52
O  0.7500  0.2973  0.0598  1 P 1.53
O  0.5291  0.0179  0.1968  1 P 1.55
O  0.2500  0.7027  0.9402  1 P 1.53
O  0.5210  0.5182  0.2934  1 P 1.59
O  0.4709  0.9821  0.8032  1 P 1.55
O  0.2500  0.3639  0.4298  2 Cu 1.78
O  0.7500  0.6170  0.1057  1 P 1.52
O  0.2500  0.0375  0.5827  1 P 1.55
O  0.0210  0.4818  0.7066  1 P 1.59
O  0.2500  0.7371  0.5788  1 P 1.56
O  0.0291  0.9821  0.8032  1 P 1.55
O  0.7500  0.2629  0.4212  1 P 1.56
O  0.9709  0.0179  0.1968  1 P 1.55
O  0.4790  0.4818  0.7066  1 P 1.59
O  0.9790  0.5182  0.2934  1 P 1.59
O  0.7500  0.9625  0.4173  1 P 1.55
P  0.2500  0.5157  0.8168  4 O 1.52-1.59
P  0.2500  0.9333  0.6930  4 O 1.55-1.56
P  0.7500  0.0667  0.3070  4 O 1.55-1.56
P  0.7500  0.4843  0.1832  4 O 1.52-1.59
Cu  0.5000  0.5000  0.5000  4 O 1.78-1.90
Cu  0.0000  0.5000  0.5000  4 O 1.78-1.90
Ba  0.2500  0.7959  0.2778  7 O 2.68-2.90
Ba  0.7500  0.2041  0.7222  7 O 2.68-2.90
Ba  0.7500  0.7898  0.9077  10 O 2.68-2.98
Ba  0.2500  0.2102  0.0923  10 O 2.68-2.98

***

(2)
A relaxed structure of Cr2AgSe, computed with GGA-PBEsol.

Results
SG: F-43m
energy relative to the elements, uncorrected: 52.3 kJ per mole of atoms

a = 4.4815 Å, b = 4.4815 Å, c = 4.4815 Å
α = 60.00°, β = 60.00°, γ = 60.00°
Last column: nearest neighbours and their distance in Å.
Positions (direct):
Se  0.2500  0.2500  0.2500  4 Ag 2.74, 4 Cr 2.74
Cr  0.7500  0.7500  0.7500  4 Cr 2.74, 4 Ag 2.74
Cr  0.0000  0.0000  0.0000  4 Cr 2.74, 4 Se 2.74
Ag  0.5000  0.5000  0.5000  4 Cr 2.74, 4 Se 2.74

***

(3)
A relaxed structure of ZrFeP, computed with GGA-PBEsol.

Results
SG: Pnma
energy of formation: -1179 meV per atom

a = 3.7197 Å, b = 6.2539 Å, c = 6.9761 Å
α = 90.00°, β = 90.00°, γ = 90.00°
Last column: nearest neighbours and their distance in Å.
Positions (direct):
Zr  0.7500  0.4865  0.6859  5 P 2.66-2.68, 6 Fe 2.74-2.96
Zr  0.2500  0.5135  0.3141  5 P 2.66-2.68, 6 Fe 2.74-2.96
Zr  0.2500  0.0135  0.1859  5 P 2.66-2.68, 6 Fe 2.74-2.96
Zr  0.7500  0.9865  0.8141  5 P 2.66-2.68, 6 Fe 2.74-2.96
Fe  0.7500  0.3542  0.0627  4 P 2.26-2.43
Fe  0.7500  0.8542  0.4373  4 P 2.26-2.43
Fe  0.2500  0.1458  0.5627  4 P 2.26-2.43
Fe  0.2500  0.6458  0.9373  4 P 2.26-2.43
P  0.2500  0.7838  0.6111  4 Fe 2.26-2.43
P  0.7500  0.7162  0.1111  4 Fe 2.26-2.43
P  0.7500  0.2162  0.3889  4 Fe 2.26-2.43
P  0.2500  0.2838  0.8889  4 Fe 2.26-2.43

***

(4)
A relaxed structure of Na2ScTiCl, computed with GGA-PBEsol.

Results
SG: P4/mmm
energy relative to the elements, uncorrected: 77.4 kJ per mole of atoms

a = 5.2238 Å, b = 5.8984 Å, c = 5.8984 Å
α = 90.00°, β = 90.00°, γ = 90.00°
Last column: nearest neighbours and their distance in Å.
Positions (direct):
Sc  0.5000  0.0000  0.0000  2 Ti 2.61
Ti  0.0000  0.0000  0.0000  2 Sc 2.61
Cl  0.5000  0.5000  0.5000  8 Na 3.94, 4 Sc 4.17
Na  0.0000  0.0000  0.5000  2 Ti 2.95
Na  0.0000  0.5000  0.0000  2 Ti 2.95

***

| no. | size of the total moment (μB per formula unit) |
| --- | --- |
| 1 | 1.1 |
| 2 | 0.3 |
| 3 | 0.0 |
| 4 | 5.8 |